(1)
AsBrN2F | PBE | optimized geometry

Structure (CIF):
```
data_AsBrN2F
_space_group_name_H-M_alt 'P 1'
_space_group_IT_number 1
_cell_length_a 3.975
_cell_length_b 3.975
_cell_length_c 3.965
_cell_angle_alpha 90.00
_cell_angle_beta 90.00
_cell_angle_gamma 90.00
loop_
_space_group_symop_operation_xyz
'x,y,z'
loop_
_atom_site_label
_atom_site_type_symbol
_atom_site_fract_x
_atom_site_fract_y
_atom_site_fract_z
_atom_site_occupancy
As1 As 0.000 0.000 0.000 1
N1 N 0.000 0.500 0.000 1
F1 F 0.000 0.000 0.500 1
N2 N 0.500 0.000 0.000 1
Br1 Br 0.500 0.500 0.500 1
```

Computed properties:
* N(E_F): 0.445 states/eV per atom
* spin magnetization: 0.000 μB per cell
* SG: P4/mmm (123)
* energy above the most stable polymorph in this dataset: 0 meV per atom

(2)
Sm2ErCo | PBE | optimized geometry

Structure (CIF):
```
data_Sm2ErCo
_space_group_name_H-M_alt 'P 1'
_space_group_IT_number 1
_cell_length_a 6.216
_cell_length_b 7.012
_cell_length_c 9.708
_cell_angle_alpha 90.00
_cell_angle_beta 90.00
_cell_angle_gamma 90.00
loop_
_space_group_symop_operation_xyz
'x,y,z'
loop_
_atom_site_label
_atom_site_type_symbol
_atom_site_fract_x
_atom_site_fract_y
_atom_site_fract_z
_atom_site_occupancy
Sm1 Sm 0.676 0.824 0.931 1
Sm2 Sm 0.176 0.676 0.431 1
Co1 Co 0.452 0.884 0.250 1
Co2 Co 0.548 0.116 0.750 1
Er1 Er 0.348 0.457 0.750 1
Sm3 Sm 0.676 0.824 0.569 1
Sm4 Sm 0.324 0.176 0.069 1
Er2 Er 0.152 0.957 0.750 1
Er3 Er 0.652 0.543 0.250 1
Sm5 Sm 0.824 0.324 0.569 1
Co3 Co 0.952 0.616 0.750 1
Er4 Er 0.848 0.043 0.250 1
Sm6 Sm 0.324 0.176 0.431 1
Sm7 Sm 0.824 0.324 0.931 1
Sm8 Sm 0.176 0.676 0.069 1
Co4 Co 0.048 0.384 0.250 1
```

Computed properties:
* N(E_F): 1.189 states/eV per atom
* ΔH_f (0 K): -0.48 eV/f.u.
* spin magnetization: 0.000 μB per cell
* SG: Pnma (62)
* energy above the most stable polymorph in this dataset: 0 meV per atom

(3)
ErUWC3 | PBE | optimized geometry

Structure (CIF):
```
data_ErUWC3
_space_group_name_H-M_alt 'P 1'
_space_group_IT_number 1
_cell_length_a 3.592
_cell_length_b 7.022
_cell_length_c 7.894
_cell_angle_alpha 93.27
_cell_angle_beta 90.00
_cell_angle_gamma 90.00
loop_
_space_group_symop_operation_xyz
'x,y,z'
loop_
_atom_site_label
_atom_site_type_symbol
_atom_site_fract_x
_atom_site_fract_y
_atom_site_fract_z
_atom_site_occupancy
C1 C 0.750 0.184 0.505 1
C2 C 0.250 0.816 0.495 1
Er1 Er 0.750 0.852 0.847 1
Er2 Er 0.250 0.148 0.153 1
W1 W 0.250 0.107 0.595 1
C3 C 0.250 0.588 0.883 1
C4 C 0.750 0.412 0.117 1
C5 C 0.750 0.873 0.150 1
W2 W 0.750 0.893 0.405 1
U1 U 0.750 0.371 0.834 1
C6 C 0.250 0.127 0.850 1
U2 U 0.250 0.629 0.166 1
```

Computed properties:
* N(E_F): 0.745 states/eV per atom
* ΔH_f (0 K): 0.47 eV/f.u.
* spin magnetization: 0.001 μB per cell
* SG: P2_1/m (11)

(4)
Co2PRh | PBE | optimized geometry

Structure (CIF):
```
data_Co2PRh
_space_group_name_H-M_alt 'P 1'
_space_group_IT_number 1
_cell_length_a 2.721
_cell_length_b 2.721
_cell_length_c 6.277
_cell_angle_alpha 90.00
_cell_angle_beta 90.00
_cell_angle_gamma 90.00
loop_
_space_group_symop_operation_xyz
'x,y,z'
loop_
_atom_site_label
_atom_site_type_symbol
_atom_site_fract_x
_atom_site_fract_y
_atom_site_fract_z
_atom_site_occupancy
Co1 Co 0.000 0.000 0.044 1
P1 P 0.500 0.500 0.250 1
Co2 Co 0.000 0.000 0.456 1
Rh1 Rh 0.500 0.500 0.750 1
```

Computed properties:
* N(E_F): 1.160 states/eV per atom
* ΔH_f (0 K): -0.54 eV/f.u.
* spin magnetization: 2.405 μB per cell
* SG: P4/mmm (123)